(1)
The following is a GGA-PBE calculation of an optimized crystal structure of TaCdO3, from Alexandria via LeMat-Bulk.

ρ (Mg/m³): 7.4
Spin magnetization (μB/atom): 0.000
Uncorrected energy (Ry per atom): -0.56602
SG: No. 12

a = 5.600 Å, b = 5.600 Å, c = 7.601 Å
α = 91.27°, β = 91.27°, γ = 40.03°
Atoms (fractional coordinates):
Ta (0.133, 0.133, 0.400)
Ta (0.867, 0.867, 0.600)
Cd (0.393, 0.393, 0.081)
Cd (0.607, 0.607, 0.919)
O (0.041, 0.041, 0.661)
O (0.201, 0.201, 0.178)
O (0.324, 0.324, 0.546)
O (0.676, 0.676, 0.454)
O (0.799, 0.799, 0.822)
O (0.959, 0.959, 0.339)

(2)
The following is a GGA-PBE calculation of an optimized crystal structure of Fe2RhW, from Alexandria via LeMat-Bulk.

ρ (Mg/m³): 12.3
Spin magnetization (μB/atom): 1.261
Energy above the lowest structure with this stoichiometry (meV/atom): 115
Calculated formation energy (eV/f.u.): 0.429
Uncorrected energy (Ry per atom): -0.67620
SG: No. 225

a = 4.237 Å, b = 4.237 Å, c = 4.237 Å
α = 60.00°, β = 60.00°, γ = 60.00°
Atoms (fractional coordinates):
Fe (0.250, 0.250, 0.250)
Fe (0.750, 0.750, 0.750)
Rh (0.000, 0.000, 0.000)
W (0.500, 0.500, 0.500)

(3)
The following is a GGA-PBE calculation of an optimized crystal structure of Te7As, from Alexandria via LeMat-Bulk.

ρ (Mg/m³): 7.4
Spin magnetization (μB/atom): 0.000
Uncorrected energy (Ry per atom): -0.20996
SG: No. 225

a = 6.740 Å, b = 6.740 Å, c = 6.740 Å
α = 60.00°, β = 60.00°, γ = 60.00°
Atoms (fractional coordinates):
Te (0.000, 0.000, 0.000)
Te (0.000, 0.000, 0.500)
Te (0.000, 0.500, 0.000)
Te (0.000, 0.500, 0.500)
Te (0.500, 0.000, 0.000)
Te (0.500, 0.000, 0.500)
Te (0.500, 0.500, 0.000)
As (0.500, 0.500, 0.500)

(4)
The following is a GGA-PBE calculation of an optimized crystal structure of PuThHgSb, from Alexandria via LeMat-Bulk.

ρ (Mg/m³): 12.0
Spin magnetization (μB/atom): 1.660
Uncorrected energy (Ry per atom): -0.50761
SG: No. 216

a = 5.389 Å, b = 5.389 Å, c = 5.389 Å
α = 60.00°, β = 60.00°, γ = 60.00°
Atoms (fractional coordinates):
Pu (0.000, 0.000, 0.000)
Th (0.500, 0.500, 0.500)
Hg (0.750, 0.750, 0.750)
Sb (0.250, 0.250, 0.250)

(5)
The following is a GGA-PBE calculation of an optimized crystal structure of SmAs3Ru3, from Alexandria via LeMat-Bulk.

ρ (Mg/m³): 7.5
Spin magnetization (μB/atom): 0.000
Energy above the lowest structure with this stoichiometry (meV/atom): 375
Calculated formation energy (eV/f.u.): -0.460
Uncorrected energy (Ry per atom): -0.49302
SG: No. 223

a = 6.686 Å, b = 6.686 Å, c = 6.686 Å
α = 90.00°, β = 90.00°, γ = 90.00°
Atoms (fractional coordinates):
Sm (0.000, 0.000, 0.000)
Sm (0.500, 0.500, 0.500)
As (0.000, 0.250, 0.500)
As (0.000, 0.750, 0.500)
As (0.250, 0.500, 0.000)
As (0.500, 0.000, 0.250)
As (0.500, 0.000, 0.750)
As (0.750, 0.500, 0.000)
Ru (0.000, 0.500, 0.250)
Ru (0.000, 0.500, 0.750)
Ru (0.250, 0.000, 0.500)
Ru (0.500, 0.250, 0.000)
Ru (0.500, 0.750, 0.000)
Ru (0.750, 0.000, 0.500)

(6)
The following is a GGA-PBE calculation of an optimized crystal structure of Nd8Sm3Sc, from Alexandria via LeMat-Bulk.

ρ (Mg/m³): 6.1
Spin magnetization (μB/atom): 0.000
Calculated formation energy (eV/f.u.): 6.376
Uncorrected energy (Ry per atom): -0.32006
SG: No. 121

a = 8.497 Å, b = 8.497 Å, c = 8.497 Å
α = 117.91°, β = 117.91°, γ = 93.66°
Atoms (fractional coordinates):
Nd (0.131, 0.131, 0.749)
Nd (0.243, 0.723, 0.000)
Nd (0.277, 0.277, 0.520)
Nd (0.382, 0.382, 0.251)
Nd (0.618, 0.869, 0.000)
Nd (0.723, 0.243, 0.000)
Nd (0.757, 0.757, 0.480)
Nd (0.869, 0.618, 0.000)
Sm (0.000, 0.000, 0.000)
Sm (0.250, 0.750, 0.500)
Sm (0.750, 0.250, 0.500)
Sc (0.500, 0.500, 0.000)

(7)
The following is a GGA-PBE calculation of an optimized crystal structure of CrP2, from Alexandria via LeMat-Bulk.

ρ (Mg/m³): 5.3
Spin magnetization (μB/atom): 0.000
Calculated formation energy (eV/f.u.): -0.105
Uncorrected energy (Ry per atom): -0.50341
SG: No. 63

a = 5.788 Å, b = 5.788 Å, c = 4.275 Å
α = 90.00°, β = 90.00°, γ = 149.79°
Atoms (fractional coordinates):
Cr (0.104, 0.896, 0.750)
Cr (0.896, 0.104, 0.250)
P (0.226, 0.774, 0.250)
P (0.437, 0.563, 0.750)
P (0.563, 0.437, 0.250)
P (0.774, 0.226, 0.750)

(8)
The following is a GGA-PBE calculation of an optimized crystal structure of BeVRh2, from Alexandria via LeMat-Bulk.

ρ (Mg/m³): 8.8
Spin magnetization (μB/atom): 0.193
Calculated formation energy (eV/f.u.): -1.736
Uncorrected energy (Ry per atom): -0.53808
SG: No. 123

a = 4.068 Å, b = 4.068 Å, c = 3.032 Å
α = 90.00°, β = 90.00°, γ = 90.00°
Atoms (fractional coordinates):
Be (0.000, 0.000, 0.000)
V (0.500, 0.500, 0.000)
Rh (0.000, 0.500, 0.500)
Rh (0.500, 0.000, 0.500)